Material: Pr2Y7Cd2
Method: DFT, PBE
State: relaxed

Summary:
* total DFT energy (no corrections): -5.21 eV per atom
* ΔH_f (0 K): -0.7 eV per formula unit

Cell: 8.5803 9.8930 8.5921 Å, 90.00 109.45 90.00°
Space group C2/m (No. 12)
Inequivalent atoms, fractional coordinates:
Pr  0.0000  0.1819  0.0000 [4 per cell]
Y  0.0000  0.5000  0.5000 [2 per cell]
Y  0.1403  0.5000  0.9133 [4 per cell]
Y  0.1994  0.1771  0.6717 [8 per cell]
Cd  0.1213  0.0000  0.3346 [4 per cell]